Entry 1:
PBE NbCuTeI2, optimized geometry; symmetry = P4/mmm (123)
1.0
5.611 0.000 0.000
0.000 5.611 0.000
0.000 0.000 5.386
I Nb Te Cu
2 1 1 1
direct
0.000 0.500 0.000
0.500 0.000 0.000
0.000 0.000 0.000
0.000 0.000 0.500
0.500 0.500 0.500


Entry 2:
PBE DyMgZnPd, optimized geometry; energy of formation from the pure elements = -0.54 eV/atom; symmetry = F-43m (216)
1.0
-3.590 -3.186 -0.189
-0.877 -2.856 3.762
-3.947 0.669 2.655
Zn Mg Pd Dy
1 1 1 1
direct
0.750 0.750 0.750
0.000 0.000 0.000
0.250 0.250 0.250
0.500 0.500 0.500


Entry 3:
PBE LiNi2Hg, optimized geometry; energy of formation from the pure elements = 0.03 eV/atom; symmetry = Immm (71)
1.0
4.708 -0.436 0.308
3.571 3.099 0.308
1.270 0.408 3.450
Hg Li Ni
1 1 2
direct
0.750 0.750 0.750
0.250 0.250 0.250
0.000 0.000 0.000
0.500 0.500 0.500


Entry 4:
PBE Ga2TePd2, optimized geometry; symmetry = I4/mmm (139)
1.0
3.848 0.000 0.000
0.000 3.848 0.000
1.924 1.924 6.288
Te Ga Pd
1 2 2
direct
0.000 0.000 0.000
0.750 0.250 0.500
0.250 0.750 0.500
0.385 0.385 0.230
0.615 0.615 0.770


Entry 5:
PBE Be2PdCS, optimized geometry; symmetry = P4/mmm (123)
1.0
4.435 0.000 0.000
0.000 3.773 0.000
0.000 0.000 4.435
Be S C Pd
2 1 1 1
direct
0.000 0.000 0.500
0.500 0.000 0.000
0.500 0.500 0.500
0.000 0.500 0.000
0.000 0.000 0.000


Entry 6:
PBE Cs8HCl6, optimized geometry; symmetry = P-3 (147)
1.0
5.247 0.000 0.000
0.000 11.089 -6.402
0.000 0.000 12.805
Cs H Cl
8 1 6
direct
0.740 0.962 0.297
0.740 0.703 0.666
0.740 0.334 0.038
0.260 0.038 0.703
0.260 0.297 0.334
0.260 0.666 0.962
0.748 0.333 0.667
0.252 0.667 0.333
0.500 0.000 0.000
0.756 0.654 0.131
0.756 0.869 0.523
0.756 0.477 0.346
0.244 0.346 0.869
0.244 0.131 0.477
0.244 0.523 0.654


no.,raw total energy (eV/atom)
1,-3.5803
2,-3.7044
3,-3.4193
4,-4.2771
5,-4.1282
6,-2.8737